First-principles (GGA-PBE) data for an optimized crystal structure of Zr4Cu2Ni, as listed in Alexandria via LeMat-Bulk.

Properties
* crystal system: orthorhombic
* DFT total energy: -48.36 eV for the cell shown
* D(E_F): 1.253 states/eV per atom
* energy of formation from the pure elements: -28 meV/atom

abc: 4.431 5.588 5.588
angles: 107.00 90.00 90.00
Positions (direct):
Zr  0.000  0.240  0.240
Zr  0.500  0.000  0.500
Zr  0.500  0.500  0.000
Zr  0.000  0.760  0.760
Cu  0.000  0.261  0.739
Cu  0.000  0.739  0.261
Ni  0.500  0.500  0.500